[1]
Here is a geometry-optimized Sm3Si6AgRh2 structure from the Alexandria database. Energies are from PBE.

The structure belongs to space group P-3m1 (No. 164); the cell edges are 5.3910, 5.3910 and 9.2659 Å and the angles 90.00°, 90.00° and 120.00°. Symmetry generates all atoms from Sm at (0.0000, 0.0000, 0.0000), Sm at (0.3333, 0.6667, 0.5845), Si at (0.1703, 0.3406, 0.2701), Ag at (0.0000, 0.0000, 0.5000) and Rh at (0.3333, 0.6667, 0.0717).

---

[2]
Here is a geometry-optimized SrSiAgRh2 structure from the Alexandria database. Energies are from PBE.

The structure belongs to space group P4/mmm (No. 123); the cell edges are 4.580, 4.580 and 4.838 Å and the angles 90.00°, 90.00° and 90.00°. Symmetry generates all atoms from Sr at (0.000, 0.000, 0.000), Si at (0.500, 0.500, 0.500), Ag at (0.500, 0.500, 0.000) and Rh at (0.000, 0.500, 0.500).

---

| no. | E_form (uncorrected) (meV per atom) |
| --- | --- |
| 1 | -366 |
| 2 | -284 |